Record 1
Computed, not measured: an optimized crystal structure of SrCl at the GGA-PBE level of DFT.

Summary:
ΔE_f (raw): -1.530 eV/atom
Calculated volume: 29.540 Å³/atom
Symmetry: Fm-3m (225)
M_tot: 0.00 Bohr magnetons per cell
Electronic total energy: -6.588 eV for the cell shown

abc: 4.372 4.372 4.372
angles: 60.00 60.00 60.00
Sites, in units of the cell vectors:
1 Sr 0.000 0.000 0.000
2 Cl 0.500 0.500 0.500

***

Record 2
Computed, not measured: an optimized crystal structure of Ac2Nd3Sm8 at the GGA-PBE level of DFT.

Summary:
Calculated volume: 37.466 Å³/atom
Symmetry: R-3m (166)
M_tot: 0.00 Bohr magnetons per cell
Electronic total energy: -56.868 eV for the cell shown
Energy relative to the lowest polymorph listed for this composition: 87 meV/atom

abc: 13.043 13.043 13.043
angles: 29.86 29.86 29.86
Sites, in units of the cell vectors:
1 Ac 0.139 0.139 0.139
2 Ac 0.861 0.861 0.861
3 Nd 0.312 0.312 0.312
4 Nd 0.500 0.500 0.500
5 Nd 0.688 0.688 0.688
6 Sm 0.221 0.221 0.722
7 Sm 0.221 0.722 0.221
8 Sm 0.228 0.228 0.228
9 Sm 0.278 0.779 0.779
10 Sm 0.722 0.221 0.221
11 Sm 0.772 0.772 0.772
12 Sm 0.779 0.278 0.779
13 Sm 0.779 0.779 0.278

***

Record 3
Computed, not measured: an optimized crystal structure of Hg5Rh at the GGA-PBE level of DFT.

Summary:
Calculated volume: 24.918 Å³/atom
Symmetry: P6/mmm (191)
M_tot: 0.00 Bohr magnetons per cell
Electronic total energy: -5.611 eV for the cell shown
Energy relative to the lowest polymorph listed for this composition: 423 meV/atom

abc: 5.444 5.444 5.825
angles: 90.00 90.00 120.00
Sites, in units of the cell vectors:
1 Hg 0.000 0.500 0.000
2 Hg 0.333 0.667 0.500
3 Hg 0.500 0.000 0.000
4 Hg 0.500 0.500 0.000
5 Hg 0.667 0.333 0.500
6 Rh 0.000 0.000 0.500

***

Record 4
Computed, not measured: an optimized crystal structure of Tb3Pm6Nd2 at the GGA-PBE level of DFT.

Summary:
Calculated volume: 35.701 Å³/atom
Symmetry: I4/mmm (139)
M_tot: 0.00 Bohr magnetons per cell
Electronic total energy: -48.933 eV for the cell shown
Energy relative to the lowest polymorph listed for this composition: 0 meV/atom

abc: 17.328 17.328 17.328
angles: 164.05 164.05 22.63
Sites, in units of the cell vectors:
1 Tb 0.000 0.000 0.000
2 Tb 0.199 0.199 0.000
3 Tb 0.801 0.801 0.000
4 Pm 0.122 0.622 0.500
5 Pm 0.301 0.301 0.000
6 Pm 0.378 0.878 0.500
7 Pm 0.622 0.122 0.500
8 Pm 0.699 0.699 0.000
9 Pm 0.878 0.378 0.500
10 Nd 0.455 0.455 0.000
11 Nd 0.545 0.545 0.000

***

Record 5
Computed, not measured: an optimized crystal structure of TiPN3 at the GGA-PBE level of DFT.

Summary:
ΔE_f (raw): -0.620 eV/atom
Calculated volume: 10.505 Å³/atom
Symmetry: Pnma (62)
M_tot: 0.00 Bohr magnetons per cell
Electronic total energy: -165.514 eV for the cell shown

abc: 5.467 8.520 4.510
angles: 90.00 90.00 90.00
Sites, in units of the cell vectors:
1 Ti 0.000 0.000 0.000
2 Ti 0.000 0.500 0.000
3 Ti 0.500 0.000 0.500
4 Ti 0.500 0.500 0.500
5 P 0.177 0.250 0.460
6 P 0.323 0.750 0.960
7 P 0.677 0.250 0.040
8 P 0.823 0.750 0.540
9 N 0.027 0.750 0.816
10 N 0.183 0.091 0.648
11 N 0.183 0.409 0.648
12 N 0.317 0.591 0.148
13 N 0.317 0.909 0.148
14 N 0.473 0.250 0.316
15 N 0.527 0.750 0.684
16 N 0.683 0.091 0.852
17 N 0.683 0.409 0.852
18 N 0.817 0.591 0.352
19 N 0.817 0.909 0.352
20 N 0.973 0.250 0.184

***

Record 6
Computed, not measured: an optimized crystal structure of KMgAg2Hg at the GGA-PBE level of DFT.

Summary:
Calculated volume: 41.659 Å³/atom
Symmetry: P4/mmm (123)
M_tot: 0.00 Bohr magnetons per cell
Electronic total energy: -4.784 eV for the cell shown

abc: 5.867 5.867 6.052
angles: 90.00 90.00 90.00
Sites, in units of the cell vectors:
1 K 0.000 0.000 0.000
2 Mg 0.500 0.500 0.500
3 Ag 0.000 0.500 0.000
4 Ag 0.500 0.000 0.000
5 Hg 0.000 0.000 0.500

***

Record 7
Computed, not measured: an optimized crystal structure of Th6AuC at the GGA-PBE level of DFT.

Summary:
Calculated volume: 27.220 Å³/atom
Symmetry: P-1 (2)
M_tot: 0.00 Bohr magnetons per cell
Electronic total energy: -58.152 eV for the cell shown

abc: 6.080 6.155 6.165
angles: 100.52 101.32 99.21
Sites, in units of the cell vectors:
1 Th 0.068 0.275 0.143
2 Th 0.226 0.853 0.440
3 Th 0.357 0.422 0.728
4 Th 0.643 0.578 0.272
5 Th 0.774 0.147 0.560
6 Th 0.932 0.725 0.857
7 Au 0.500 0.000 0.000
8 C 0.000 0.500 0.500

***

Record 8
Computed, not measured: an optimized crystal structure of CdHg4 at the GGA-PBE level of DFT.

Summary:
Calculated volume: 26.119 Å³/atom
Symmetry: I4/m (87)
M_tot: 0.00 Bohr magnetons per cell
Electronic total energy: -1.960 eV for the cell shown
Energy relative to the lowest polymorph listed for this composition: 10 meV/atom

abc: 5.859 5.859 5.859
angles: 98.27 98.27 135.43
Sites, in units of the cell vectors:
1 Cd 0.000 0.000 0.000
2 Hg 0.205 0.405 0.610
3 Hg 0.405 0.795 0.201
4 Hg 0.595 0.205 0.799
5 Hg 0.795 0.595 0.390

***

Record 9
Computed, not measured: an optimized crystal structure of ZrBrCl at the GGA-PBE level of DFT.

Summary:
ΔE_f (raw): -1.348 eV/atom
Calculated volume: 26.178 Å³/atom
Symmetry: P3m1 (156)
M_tot: 0.00 Bohr magnetons per cell
Electronic total energy: -16.111 eV for the cell shown

abc: 3.430 3.430 7.709
angles: 90.00 90.00 120.00
Sites, in units of the cell vectors:
1 Zr 0.000 0.000 0.000
2 Br 0.667 0.333 0.251
3 Cl 0.333 0.667 0.770

***

Record 10
Computed, not measured: an optimized crystal structure of ErMg11Ni at the GGA-PBE level of DFT.

Summary:
Calculated volume: 21.940 Å³/atom
Symmetry: C2/m (12)
M_tot: 0.00 Bohr magnetons per cell
Electronic total energy: -28.203 eV for the cell shown

abc: 7.697 7.697 7.579
angles: 97.31 97.31 137.31
Sites, in units of the cell vectors:
1 Er 0.000 0.000 0.000
2 Mg 0.000 0.000 0.500
3 Mg 0.000 0.500 0.000
4 Mg 0.023 0.358 0.361
5 Mg 0.306 0.508 0.781
6 Mg 0.358 0.023 0.361
7 Mg 0.492 0.694 0.219
8 Mg 0.500 0.000 0.000
9 Mg 0.508 0.306 0.781
10 Mg 0.642 0.977 0.639
11 Mg 0.694 0.492 0.219
12 Mg 0.977 0.642 0.639
13 Ni 0.500 0.500 0.500

***

Record 11
Computed, not measured: an optimized crystal structure of Na8AsO2 at the GGA-PBE level of DFT.

Summary:
ΔE_f (raw): -0.683 eV/atom
Calculated volume: 22.415 Å³/atom
Symmetry: C2/m (12)
M_tot: 0.00 Bohr magnetons per cell
Electronic total energy: -32.632 eV for the cell shown

abc: 7.782 7.782 7.232
angles: 96.74 96.74 34.56
Sites, in units of the cell vectors:
1 Na 0.086 0.086 0.196
2 Na 0.239 0.239 0.601
3 Na 0.307 0.307 0.987
4 Na 0.413 0.413 0.338
5 Na 0.587 0.587 0.662
6 Na 0.693 0.693 0.013
7 Na 0.761 0.761 0.399
8 Na 0.914 0.914 0.804
9 As 0.500 0.500 0.000
10 O 0.252 0.252 0.274
11 O 0.748 0.748 0.726

***

Record 12
Computed, not measured: an optimized crystal structure of CrTc2Rh at the GGA-PBE level of DFT.

Summary:
Calculated volume: 13.891 Å³/atom
Symmetry: R3m (160)
M_tot: 0.00 Bohr magnetons per cell
Electronic total energy: -37.457 eV for the cell shown
Energy relative to the lowest polymorph listed for this composition: 46 meV/atom

abc: 8.888 8.888 8.888
angles: 17.53 17.53 17.53
Sites, in units of the cell vectors:
1 Cr 0.000 0.000 0.000
2 Tc 0.249 0.249 0.249
3 Tc 0.499 0.499 0.499
4 Rh 0.744 0.744 0.744

***

Record 13
Computed, not measured: an optimized crystal structure of Pa2Be3GePt4 at the GGA-PBE level of DFT.

Summary:
Calculated volume: 16.212 Å³/atom
Symmetry: P-4m2 (115)
M_tot: 1.04 Bohr magnetons per cell
Electronic total energy: -66.734 eV for the cell shown

abc: 4.028 4.028 9.992
angles: 90.00 90.00 90.00
Sites, in units of the cell vectors:
1 Pa 0.000 0.500 0.246
2 Pa 0.500 0.000 0.754
3 Be 0.000 0.500 0.877
4 Be 0.500 0.000 0.123
5 Be 0.500 0.500 0.500
6 Ge 0.000 0.000 0.500
7 Pt 0.000 0.000 0.000
8 Pt 0.000 0.500 0.647
9 Pt 0.500 0.000 0.353
10 Pt 0.500 0.500 0.000

***

Record 14
Computed, not measured: an optimized crystal structure of Ga6CuTc at the GGA-PBE level of DFT.

Summary:
Calculated volume: 19.762 Å³/atom
Symmetry: C2/m (12)
M_tot: 0.00 Bohr magnetons per cell
Electronic total energy: -31.629 eV for the cell shown

abc: 5.229 5.229 6.115
angles: 103.26 103.26 90.31
Sites, in units of the cell vectors:
1 Ga 0.134 0.699 0.685
2 Ga 0.301 0.866 0.315
3 Ga 0.335 0.335 0.018
4 Ga 0.665 0.665 0.982
5 Ga 0.699 0.134 0.685
6 Ga 0.866 0.301 0.315
7 Cu 0.500 0.500 0.500
8 Tc 0.000 0.000 0.000

***

Record 15
Computed, not measured: an optimized crystal structure of Sm3TmRh3 at the GGA-PBE level of DFT.

Summary:
Calculated volume: 24.060 Å³/atom
Symmetry: C2/m (12)
M_tot: 0.00 Bohr magnetons per cell
Electronic total energy: -90.471 eV for the cell shown

abc: 7.161 7.161 6.768
angles: 99.14 99.14 83.41
Sites, in units of the cell vectors:
1 Sm 0.191 0.809 0.000
2 Sm 0.280 0.720 0.500
3 Sm 0.302 0.302 0.996
4 Sm 0.698 0.698 0.004
5 Sm 0.720 0.280 0.500
6 Sm 0.809 0.191 0.000
7 Tm 0.213 0.213 0.455
8 Tm 0.787 0.787 0.545
9 Rh 0.002 0.502 0.254
10 Rh 0.054 0.054 0.715
11 Rh 0.498 0.998 0.746
12 Rh 0.502 0.002 0.254
13 Rh 0.946 0.946 0.285
14 Rh 0.998 0.498 0.746

***

Record 16
Computed, not measured: an optimized crystal structure of Nd2Ga5Ni3 at the GGA-PBE level of DFT.

Summary:
Calculated volume: 17.562 Å³/atom
Symmetry: Ibam (72)
M_tot: 0.00 Bohr magnetons per cell
Electronic total energy: -96.035 eV for the cell shown

abc: 8.455 8.455 8.455
angles: 107.16 85.90 140.94
Sites, in units of the cell vectors:
1 Nd 0.138 0.225 0.363
2 Nd 0.362 0.725 0.086
3 Nd 0.638 0.275 0.914
4 Nd 0.862 0.775 0.637
5 Ga 0.036 0.750 0.286
6 Ga 0.093 0.665 0.758
7 Ga 0.250 0.250 0.000
8 Ga 0.407 0.165 0.572
9 Ga 0.464 0.750 0.714
10 Ga 0.536 0.250 0.286
11 Ga 0.593 0.835 0.428
12 Ga 0.750 0.750 0.000
13 Ga 0.907 0.335 0.242
14 Ga 0.964 0.250 0.714
15 Ni 0.141 0.902 0.044
16 Ni 0.250 0.750 0.500
17 Ni 0.359 0.402 0.761
18 Ni 0.641 0.598 0.239
19 Ni 0.750 0.250 0.500
20 Ni 0.859 0.098 0.956

***

Record 17
Computed, not measured: an optimized crystal structure of CuOs2Pt at the GGA-PBE level of DFT.

Summary:
Calculated volume: 14.165 Å³/atom
Symmetry: P4/mmm (123)
M_tot: 0.00 Bohr magnetons per cell
Electronic total energy: -30.927 eV for the cell shown
Energy relative to the lowest polymorph listed for this composition: 330 meV/atom

abc: 2.720 2.720 7.658
angles: 90.00 90.00 90.00
Sites, in units of the cell vectors:
1 Cu 0.000 0.000 0.000
2 Os 0.500 0.500 0.241
3 Os 0.500 0.500 0.759
4 Pt 0.000 0.000 0.500

***

Record 18
Computed, not measured: an optimized crystal structure of Sc2PPb at the GGA-PBE level of DFT.

Summary:
Calculated volume: 20.951 Å³/atom
Symmetry: P4/mmm (123)
M_tot: 0.73 Bohr magnetons per cell
Electronic total energy: -23.498 eV for the cell shown
Energy relative to the lowest polymorph listed for this composition: 558 meV/atom

abc: 4.631 4.631 3.907
angles: 90.00 90.00 90.00
Sites, in units of the cell vectors:
1 Sc 0.000 0.500 0.000
2 Sc 0.500 0.000 0.000
3 P 0.000 0.000 0.500
4 Pb 0.500 0.500 0.500

***

Record 19
Computed, not measured: an optimized crystal structure of UMn3B3 at the GGA-PBE level of DFT.

Summary:
Calculated volume: 10.962 Å³/atom
Symmetry: P6_3/m (176)
M_tot: 0.05 Bohr magnetons per cell
Electronic total energy: -119.132 eV for the cell shown

abc: 7.701 7.701 2.988
angles: 90.00 90.00 120.00
Sites, in units of the cell vectors:
1 U 0.333 0.667 0.250
2 U 0.667 0.333 0.750
3 Mn 0.086 0.320 0.750
4 Mn 0.234 0.914 0.750
5 Mn 0.320 0.234 0.250
6 Mn 0.680 0.766 0.750
7 Mn 0.766 0.086 0.250
8 Mn 0.914 0.680 0.250
9 B 0.036 0.579 0.750
10 B 0.421 0.458 0.750
11 B 0.458 0.036 0.250
12 B 0.542 0.964 0.750
13 B 0.579 0.542 0.250
14 B 0.964 0.421 0.250

***

Record 20
Computed, not measured: an optimized crystal structure of Ce2B2Ir5Rh at the GGA-PBE level of DFT.

Summary:
Calculated volume: 15.144 Å³/atom
Symmetry: P4/mbm (127)
M_tot: 0.00 Bohr magnetons per cell
Electronic total energy: -163.755 eV for the cell shown

abc: 9.347 9.347 3.467
angles: 90.00 90.00 90.00
Sites, in units of the cell vectors:
1 Ce 0.180 0.320 0.000
2 Ce 0.320 0.820 0.000
3 Ce 0.680 0.180 0.000
4 Ce 0.820 0.680 0.000
5 B 0.118 0.618 0.000
6 B 0.382 0.118 0.000
7 B 0.618 0.882 0.000
8 B 0.882 0.382 0.000
9 Ir 0.000 0.500 0.500
10 Ir 0.071 0.779 0.500
11 Ir 0.221 0.071 0.500
12 Ir 0.279 0.571 0.500
13 Ir 0.429 0.279 0.500
14 Ir 0.500 0.000 0.500
15 Ir 0.571 0.721 0.500
16 Ir 0.721 0.429 0.500
17 Ir 0.779 0.929 0.500
18 Ir 0.929 0.221 0.500
19 Rh 0.000 0.000 0.000
20 Rh 0.500 0.500 0.000

***

Record 21
Computed, not measured: an optimized crystal structure of PmPr2Y5Th at the GGA-PBE level of DFT.

Summary:
Calculated volume: 33.408 Å³/atom
Symmetry: I4/mcm (140)
M_tot: 0.00 Bohr magnetons per cell
Electronic total energy: -103.137 eV for the cell shown

abc: 9.980 9.980 9.980
angles: 127.87 127.87 76.83
Sites, in units of the cell vectors:
1 Pm 0.250 0.750 0.500
2 Pm 0.750 0.250 0.500
3 Pr 0.117 0.617 0.734
4 Pr 0.383 0.117 0.500
5 Pr 0.617 0.883 0.500
6 Pr 0.883 0.383 0.266
7 Y 0.000 0.000 0.000
8 Y 0.073 0.148 0.500
9 Y 0.148 0.648 0.075
10 Y 0.352 0.427 0.500
11 Y 0.427 0.927 0.075
12 Y 0.500 0.500 0.000
13 Y 0.573 0.073 0.925
14 Y 0.648 0.573 0.500
15 Y 0.852 0.352 0.925
16 Y 0.927 0.852 0.500
17 Th 0.250 0.250 0.000
18 Th 0.750 0.750 0.000

***

Record 22
Computed, not measured: an optimized crystal structure of Na4Sn5Hg2 at the GGA-PBE level of DFT.

Summary:
Calculated volume: 26.809 Å³/atom
Symmetry: P2/m (10)
M_tot: 0.00 Bohr magnetons per cell
Electronic total energy: -27.351 eV for the cell shown

abc: 9.462 3.453 9.947
angles: 90.00 114.83 90.00
Sites, in units of the cell vectors:
1 Na 0.227 0.000 0.234
2 Na 0.248 0.000 0.718
3 Na 0.752 0.000 0.282
4 Na 0.773 0.000 0.766
5 Sn 0.097 0.500 0.913
6 Sn 0.436 0.500 0.115
7 Sn 0.500 0.500 0.500
8 Sn 0.564 0.500 0.885
9 Sn 0.903 0.500 0.087
10 Hg 0.110 0.500 0.426
11 Hg 0.890 0.500 0.574